# ErSc2Bi PBE relaxed
data_ErSc2Bi
_space_group_name_H-M_alt 'P 1'
_space_group_IT_number 1
_cell_length_a 3.383
_cell_length_b 3.383
_cell_length_c 34.077
_cell_angle_alpha 90.00
_cell_angle_beta 90.00
_cell_angle_gamma 120.00
loop_
_space_group_symop_operation_xyz
'x,y,z'
loop_
_atom_site_label
_atom_site_fract_x
_atom_site_fract_y
_atom_site_fract_z
_atom_site_occupancy
Er1 0.000 0.000 0.000 1
Er2 0.333 0.667 0.667 1
Er3 0.667 0.333 0.333 1
Sc1 0.000 0.000 0.093 1
Sc2 0.000 0.000 0.907 1
Sc3 0.333 0.667 0.573 1
Sc4 0.333 0.667 0.760 1
Sc5 0.667 0.333 0.240 1
Sc6 0.667 0.333 0.427 1
Bi1 0.000 0.000 0.500 1
Bi2 0.333 0.667 0.167 1
Bi3 0.667 0.333 0.833 1
# space-group type: R-3m
# uncorrected energy: -5.125 eV per atom
# distance to the lowest polymorph of the same formula: 592 meV per atom
# magnetic moment: 5.6 Bohr magnetons per cell